(1)
This record from Alexandria via LeMat-Bulk describes a geometry-optimized ZnRePt structure. The functional is PBE.

volume = 17.44 Å³ per atom
uncorrected energy = -6.22 eV per atom
total magnetization = 0.583 μB per cell

Unit cell a=4.198 b=4.198 c=4.198 alpha=60.00 beta=60.00 gamma=60.00
Atoms (fractional coordinates):
Zn (0.000, 0.000, 0.000)
Re (0.500, 0.500, 0.500)
Pt (0.750, 0.750, 0.750)



(2)
This record from Alexandria via LeMat-Bulk describes a geometry-optimized YSc2Cd2 structure. The functional is PBE.

volume = 26.41 Å³ per atom
uncorrected energy = -4.21 eV per atom
total magnetization = 0.000 μB per cell

Unit cell a=12.414 b=12.414 c=12.414 alpha=158.18 beta=158.18 gamma=31.05
Atoms (fractional coordinates):
Y (0.130, 0.130, 0.000)
Y (0.870, 0.870, 0.000)
Sc (0.250, 0.750, 0.500)
Sc (0.428, 0.428, 0.000)
Sc (0.572, 0.572, 0.000)
Sc (0.750, 0.250, 0.500)
Cd (0.000, 0.500, 0.500)
Cd (0.317, 0.317, 0.000)
Cd (0.500, 0.000, 0.500)
Cd (0.683, 0.683, 0.000)



| no. | E_form (meV/atom) |
| --- | --- |
| 1 | 370 |
| 2 | -17 |